[1]
Compound: TlSiHCl2
Source: Alexandria
Functional: GGA-PBE
Structure: relaxed

abc: 5.4621 3.4743 5.4621
angles: 90.00 90.00 90.00
Positions (direct):
H  0.0000  0.0000  0.0000
Tl  0.5000  0.5000  0.5000
Si  0.0000  0.5000  0.0000
Cl  0.5000  0.0000  0.0000
Cl  0.0000  0.0000  0.5000

## Properties
- Density of states at the Fermi level: 0.190 states/eV per atom
- Final energy: -3.0390 eV per atom
- Symmetry: P4/mmm, No. 123
- Calculated density: 4.88 g cm⁻³

=====

[2]
Compound: Ca2Ga2Ag
Source: Alexandria
Functional: GGA-PBE
Structure: relaxed

abc: 3.7748 3.7748 9.4018
angles: 78.42 78.42 90.00
Positions (direct):
Ca  0.3983  0.3983  0.2034
Ca  0.6017  0.6017  0.7966
Ag  0.0000  0.0000  0.0000
Ga  0.7500  0.2500  0.5000
Ga  0.2500  0.7500  0.5000

## Properties
- ΔE to the lowest computed polymorph: 214 meV/atom
- Density of states at the Fermi level: 0.861 states/eV per atom
- Final energy: -2.7895 eV per atom
- Symmetry: I4/mmm, No. 139
- E_form: -207.9 meV/atom
- Calculated density: 4.23 g cm⁻³

=====

[3]
Compound: RbScTeO4
Source: Alexandria
Functional: GGA-PBE
Structure: relaxed

abc: 5.9430 5.9930 8.4382
angles: 90.00 118.63 90.00
Positions (direct):
Sc  0.8121  0.7500  0.4581
Sc  0.1879  0.2500  0.5419
Te  0.2058  0.7500  0.2867
Te  0.7942  0.2500  0.7133
O  0.4965  0.7500  0.5199
O  0.0290  0.5196  0.3595
O  0.0290  0.9804  0.3595
O  0.5035  0.2500  0.4801
O  0.9710  0.0196  0.6405
O  0.9710  0.4804  0.6405
O  0.4965  0.2500  0.7882
O  0.5035  0.7500  0.2118
Rb  0.4577  0.7500  0.8557
Rb  0.5423  0.2500  0.1443

## Properties
- Density of states at the Fermi level: 0.000 states/eV per atom
- Final energy: -6.3326 eV per atom
- Formation energy from raw total energies: -193.72 kJ/mol of atoms
- Symmetry: P2_1/m, No. 11
- Calculated density: 4.05 g cm⁻³

=====

Q: What is the formula in the first record?
A: TlSiHCl2

=====

Q: Among the records above, which one has the lowest calculated density?
A: RbScTeO4